This record from Alexandria describes Ti5Tl3S12 after structural relaxation. The functional is PBE.

Cell lengths 13.514, 13.514, 13.514 Å; angles 109.47, 109.47, 109.47 degrees
Atoms (fractional coordinates):
S: 0.306 0.893 0.987
S: 0.086 0.181 0.194
S: 0.806 0.319 0.914
S: 0.586 0.893 0.405
S: 0.414 0.306 0.319
S: 0.806 0.487 0.393
S: 0.107 0.414 0.095
S: 0.595 0.607 0.414
S: 0.487 0.681 0.095
S: 0.819 0.914 0.306
S: 0.393 0.405 0.086
S: 0.681 0.487 0.595
S: 0.607 0.013 0.194
S: 0.914 0.819 0.806
S: 0.819 0.905 0.013
S: 0.095 0.914 0.107
S: 0.914 0.095 0.607
S: 0.086 0.905 0.393
S: 0.393 0.987 0.806
S: 0.013 0.607 0.694
S: 0.405 0.013 0.319
S: 0.013 0.405 0.819
S: 0.595 0.987 0.681
S: 0.586 0.694 0.681
S: 0.107 0.694 0.513
S: 0.194 0.681 0.086
S: 0.681 0.194 0.586
S: 0.319 0.806 0.414
S: 0.987 0.393 0.306
S: 0.095 0.181 0.487
S: 0.905 0.086 0.893
S: 0.181 0.095 0.987
S: 0.405 0.393 0.586
S: 0.513 0.319 0.905
S: 0.893 0.586 0.905
S: 0.513 0.194 0.107
S: 0.181 0.086 0.694
S: 0.905 0.819 0.513
S: 0.607 0.595 0.914
S: 0.194 0.513 0.607
S: 0.319 0.513 0.405
S: 0.694 0.586 0.181
S: 0.893 0.306 0.487
S: 0.487 0.806 0.893
S: 0.414 0.107 0.595
S: 0.987 0.595 0.181
S: 0.306 0.414 0.819
S: 0.694 0.107 0.013
Ti: 0.375 0.125 0.750
Ti: 0.750 0.125 0.875
Ti: 0.625 0.875 0.250
Ti: 0.500 0.000 0.000
Ti: 0.500 0.500 0.000
Ti: 0.375 0.250 0.125
Ti: 0.125 0.750 0.375
Ti: 0.000 0.500 0.000
Ti: 0.000 0.500 0.500
Ti: 0.625 0.750 0.875
Ti: 0.750 0.625 0.375
Ti: 0.000 0.000 0.500
Ti: 0.875 0.250 0.625
Ti: 0.875 0.625 0.750
Ti: 0.500 0.500 0.500
Ti: 0.500 0.000 0.500
Ti: 0.250 0.875 0.125
Ti: 0.250 0.375 0.625
Ti: 0.000 0.000 0.000
Ti: 0.125 0.375 0.250
Tl: 0.375 0.750 0.625
Tl: 0.125 0.250 0.875
Tl: 0.875 0.750 0.125
Tl: 0.250 0.625 0.875
Tl: 0.625 0.375 0.750
Tl: 0.875 0.125 0.250
Tl: 0.750 0.875 0.625
Tl: 0.125 0.875 0.750
Tl: 0.250 0.125 0.375
Tl: 0.375 0.625 0.250
Tl: 0.750 0.375 0.125
Tl: 0.625 0.250 0.375

Values from the calculation:
Calculated density: 4.33 g/cm3
Symmetry: Ia-3d (230)
Formation energy (no corrections): -887.3 meV per atom
Electronic total energy: -5.692 eV per atom
DOS at the Fermi energy: 30.92 states/eV per cell

***

This record from Alexandria describes TiTl8S6 after structural relaxation. The functional is PBE.

Cell lengths 11.125, 8.665, 10.433 Å; angles 90.00, 90.00, 90.00 degrees
Atoms (fractional coordinates):
Tl: 0.910 0.238 0.531
Tl: 0.377 0.000 0.943
Tl: 0.778 0.230 0.873
Tl: 0.402 0.718 0.699
Tl: 0.598 0.218 0.199
Tl: 0.778 0.770 0.873
Tl: 0.222 0.270 0.373
Tl: 0.177 0.000 0.669
Tl: 0.823 0.500 0.169
Tl: 0.910 0.762 0.531
Tl: 0.090 0.738 0.031
Tl: 0.402 0.282 0.699
Tl: 0.598 0.782 0.199
Tl: 0.222 0.730 0.373
Tl: 0.090 0.262 0.031
Tl: 0.623 0.500 0.443
S: 0.659 0.223 0.620
S: 0.056 0.500 0.239
S: 0.659 0.777 0.620
S: 0.194 0.500 0.865
S: 0.806 0.000 0.365
S: 0.341 0.277 0.120
S: 0.376 0.500 0.491
S: 0.475 0.000 0.384
S: 0.944 0.000 0.739
S: 0.624 0.000 0.991
S: 0.341 0.723 0.120
S: 0.525 0.500 0.884
Ti: 0.354 0.500 0.000
Ti: 0.646 0.000 0.500

Values from the calculation:
Calculated density: 6.19 g/cm3
Symmetry: Pmn2_1 (31)
Formation energy (no corrections): -506.3 meV per atom
Electronic total energy: -3.946 eV per atom

***

This record from Alexandria describes TiTlS2 after structural relaxation. The functional is PBE.

Cell lengths 7.825, 6.735, 6.735 Å; angles 85.44, 120.80, 59.20 degrees
Atoms (fractional coordinates):
Tl: 0.250 0.620 0.120
Tl: 0.750 0.380 0.880
S: 0.655 0.888 0.864
S: 0.155 0.636 0.612
S: 0.345 0.112 0.136
S: 0.845 0.364 0.388
Ti: 0.750 0.764 0.264
Ti: 0.250 0.236 0.736

Values from the calculation:
Calculated density: 4.53 g/cm3
Symmetry: C2/c (15)
Formation energy (no corrections): -912.7 meV per atom
Electronic total energy: -5.542 eV per atom
DOS at the Fermi energy: 0.00 states/eV per cell